Computed, not measured: a relaxed CsSc2NiRu crystal at the PBE-GGA level of DFT.

ΔH_f (0 K) (eV per atom): 2.03

Cell: 5.1864 5.1864 4.7879 Å, 90.00 90.00 90.00°
With the nearest neighbours (Å) after each atom.
Space group P4/mmm (No. 123)
Symmetry-distinct sites (fractional):
1 Cs 0.0000 0.0000 0.0000 (multiplicity 1)  2 Ru 2.39, 4 Sc 2.59
2 Sc 0.0000 0.5000 0.0000 (multiplicity 2)  2 Cs 2.59
3 Ni 0.5000 0.5000 0.5000 (multiplicity 1)  8 Sc 3.53, 4 Ru 3.67
4 Ru 0.0000 0.0000 0.5000 (multiplicity 1)  2 Cs 2.39